Entry 1:
Compound: Ba2BeIn
Source: the Alexandria database
Functional: GGA-PBEsol
Structure: optimized geometry

Cell: 6.4715 6.4715 5.7529 Å, 116.36 116.36 35.55°
Atoms (fractional coordinates):
Ba (0.0000, 0.0000, 0.0000)
Ba (0.1807, 0.1807, 0.6809)
Be (0.4288, 0.4288, 0.4308)
In (0.7868, 0.7868, 0.2868)

crystal system = monoclinic
total magnetization = 0.000 μB per cell
formation enthalpy at 0 K = 0.06 eV per formula unit
energy = -2.805 eV per atom

***

Entry 2:
Compound: TcAs2Se
Source: the Alexandria database
Functional: GGA-PBEsol
Structure: optimized geometry

Cell: 4.6937 4.6937 5.6463 Å, 106.88 106.88 38.24°
Atoms (fractional coordinates):
Tc (0.0000, 0.0000, 0.0000)
As (0.5840, 0.5840, 0.3851)
As (0.7232, 0.7232, 0.0280)
Se (0.3741, 0.3741, 0.6362)

formation energy without anion corrections = -0.062 eV/atom
crystal system = monoclinic
energy above the most stable polymorph in this dataset = 0 meV/atom
total magnetization = 0.000 μB per cell
energy = -6.394 eV per atom

***

Entry 3:
Compound: LaBrCl
Source: the Alexandria database
Functional: GGA-PBEsol
Structure: optimized geometry

Cell: 3.9605 3.9605 6.8942 Å, 90.00 90.00 120.00°
Atoms (fractional coordinates):
La (0.0000, 0.0000, 0.0000)
Br (0.6667, 0.3333, 0.7201)
Cl (0.3333, 0.6667, 0.2515)

formation energy without anion corrections = -1.892 eV/atom
crystal system = trigonal
total magnetization = 0.000 μB per cell
energy = -4.967 eV per atom

***

Entry 4:
Compound: Sc2InCu
Source: the Alexandria database
Functional: GGA-PBEsol
Structure: optimized geometry

Cell: 4.7349 4.7349 3.4564 Å, 90.00 90.00 90.00°
Atoms (fractional coordinates):
Sc (0.0000, 0.5000, 0.0000)
Sc (0.5000, 0.0000, 0.0000)
In (0.0000, 0.0000, 0.5000)
Cu (0.5000, 0.5000, 0.5000)

crystal system = tetragonal
total magnetization = 0.000 μB per cell
formation enthalpy at 0 K = -1.27 eV per formula unit
energy = -5.450 eV per atom

***

Entry 5:
Compound: Cd2PW
Source: the Alexandria database
Functional: GGA-PBEsol
Structure: optimized geometry

Cell: 5.5494 5.5494 5.5494 Å, 140.94 140.94 56.42°
Atoms (fractional coordinates):
Cd (0.2500, 0.7500, 0.5000)
Cd (0.7500, 0.2500, 0.5000)
P (0.0000, 0.0000, 0.0000)
W (0.5000, 0.5000, 0.0000)

crystal system = tetragonal
energy above the most stable polymorph in this dataset = 285 meV/atom
total magnetization = 0.000 μB per cell
formation enthalpy at 0 K = 2.22 eV per formula unit
energy = -4.944 eV per atom

***

Entry 6:
Compound: CoIr2Pt
Source: the Alexandria database
Functional: GGA-PBEsol
Structure: optimized geometry

Cell: 4.2765 4.2765 4.2765 Å, 60.00 60.00 60.00°
Atoms (fractional coordinates):
Co (0.0000, 0.0000, 0.0000)
Ir (0.2500, 0.2500, 0.2500)
Ir (0.7500, 0.7500, 0.7500)
Pt (0.5000, 0.5000, 0.5000)

crystal system = cubic
energy above the most stable polymorph in this dataset = 400 meV/atom
total magnetization = 2.454 μB per cell
formation enthalpy at 0 K = 1.67 eV per formula unit
energy = -8.170 eV per atom

***

Entry 7:
Compound: ZnHg2Rh
Source: the Alexandria database
Functional: GGA-PBEsol
Structure: optimized geometry

Cell: 5.1044 5.1044 5.1044 Å, 134.26 134.26 66.68°
Atoms (fractional coordinates):
Zn (0.0000, 0.0000, 0.0000)
Hg (0.2500, 0.7500, 0.5000)
Hg (0.7500, 0.2500, 0.5000)
Rh (0.5000, 0.5000, 0.0000)

crystal system = tetragonal
total magnetization = 0.000 μB per cell
formation enthalpy at 0 K = 0.20 eV per formula unit
energy = -2.664 eV per atom

***

Entry 8:
Compound: ZrBIN2
Source: the Alexandria database
Functional: GGA-PBEsol
Structure: optimized geometry

Cell: 4.0703 4.0703 6.0250 Å, 90.00 90.00 90.00°
Atoms (fractional coordinates):
Zr (0.0000, 0.0000, 0.0000)
B (0.5000, 0.5000, 0.5000)
I (0.0000, 0.0000, 0.5000)
N (0.0000, 0.5000, 0.0000)
N (0.5000, 0.0000, 0.0000)

formation energy without anion corrections = 1.077 eV/atom
crystal system = tetragonal
total magnetization = 0.064 μB per cell
energy = -5.908 eV per atom

***

> The highest total magnetization belongs to which entry?

CoIr2Pt

***

> What is the total magnetization in the seventh record?

0.000 μB per cell